No. 1
VASP calculation (SCAN) on a PBEsol-optimized structure of Ba3H12Ir2.

```
Ba3H12Ir2
1.0
-0.640 2.825 -4.562
-0.549 -5.375 -0.051
-8.387 0.841 1.696
H Ir Ba
12 2 3
Direct
0.526 0.474 0.882
0.636 0.818 0.345
0.818 0.182 0.655
0.182 0.364 0.345
0.052 0.526 0.118
0.526 0.052 0.882
0.182 0.818 0.345
0.474 0.526 0.118
0.364 0.182 0.655
0.818 0.636 0.655
0.474 0.948 0.118
0.948 0.474 0.882
0.667 0.333 0.763
0.333 0.667 0.237
0.333 0.667 0.641
0.000 0.000 0.000
0.667 0.333 0.359
```

Calculated values
Magnetic moment = 0.0 μB per formula unit
Energy = -313.84 eV for the cell shown
Space-group type = P-3m1, No. 164

No. 2
VASP calculation (SCAN) on a PBEsol-optimized structure of KAlTl.

```
KAlTl
1.0
5.153 0.000 0.000
2.576 4.462 0.000
2.576 1.487 4.207
Al K Tl
1 1 1
Direct
0.000 0.000 0.000
0.500 0.500 0.500
0.250 0.250 0.250
```

Calculated values
Magnetic moment = 0.0 μB per formula unit
Energy = -87.68 eV for the cell shown
Formation energy from the elements = 0.2543 eV/atom
Space-group type = F-43m, No. 216

No. 3
VASP calculation (SCAN) on a PBEsol-optimized structure of ScSiRh2.

```
ScSiRh2
1.0
-0.448 1.776 2.833
3.410 -1.643 1.570
2.206 3.072 -1.576
Si Sc Rh
1 1 2
Direct
0.500 0.000 0.000
0.500 0.500 0.500
0.000 0.500 0.000
0.000 0.000 0.500
```

Calculated values
Magnetic moment = 0.0 μB per formula unit
Energy = -95.83 eV for the cell shown
Energy relative to the elements, uncorrected = -97 kJ/mol of atoms
Space-group type = P4/mmm, No. 123

magnetic moment of number 2 (KAlTl)? 0.0 μB per formula unit

Look up the magnetic moment of the third one. 0.0 μB per formula unit

Which of these has the lowest energy? Ba3H12Ir2